1.
NdGa3 PBE optimized geometry; raw total energy = -4.039 eV per atom
1.0
6.460 0.000 0.000
-3.230 5.595 0.000
0.000 0.000 4.606
Nd Ga
2 6
Direct
0.667 0.333 0.250 Nd
0.333 0.667 0.750 Nd
0.857 0.143 0.750 Ga
0.286 0.143 0.750 Ga
0.857 0.714 0.750 Ga
0.143 0.857 0.250 Ga
0.714 0.857 0.250 Ga
0.143 0.286 0.250 Ga



2.
NdGa2 PBE optimized geometry; raw total energy = -4.300 eV per atom
1.0
4.279 0.000 0.000
-2.140 3.706 0.000
0.000 0.000 4.300
Nd Ga
1 2
Direct
0.000 0.000 0.000 Nd
0.333 0.667 0.500 Ga
0.667 0.333 0.500 Ga



3.
Nd4Ga3 PBE optimized geometry; raw total energy = -4.463 eV per atom
1.0
7.505 0.000 -2.654
-3.753 6.500 -2.654
0.000 0.000 7.961
Nd Ga
8 6
Direct
0.355 0.500 0.000 Nd
0.500 0.355 0.500 Nd
0.000 0.000 0.355 Nd
0.645 0.145 0.145 Nd
0.000 0.000 0.855 Nd
0.145 0.645 0.645 Nd
0.855 0.500 0.000 Nd
0.500 0.855 0.500 Nd
0.125 0.375 0.250 Ga
0.625 0.750 0.875 Ga
0.875 0.250 0.625 Ga
0.250 0.875 0.125 Ga
0.750 0.625 0.375 Ga
0.375 0.125 0.750 Ga



- Number 2 is which compound?
  NdGa2